No. 1
First-principles (SCAN) data for a PBEsol-optimized structure of SrZn2, as listed in Alexandria via LeMat-Bulk.

Values from the calculation:
mass density	5.618	g cm⁻³
N(E_F)	0.669	states/eV/atom
formation enthalpy at 0 K	-193	meV/atom

Lattice parameters (Å, degrees): 8.024 8.024 8.024 90.00 90.00 90.00
Space group Fd-3m (No. 227, origin choice 2)
Asymmetric unit:
Sr 0.125 0.125 0.125 (multiplicity 8)
Zn 0.000 0.000 0.500 (multiplicity 16)

No. 2
First-principles (SCAN) data for a PBEsol-optimized structure of Sr3Zn, as listed in Alexandria via LeMat-Bulk.

Values from the calculation:
mass density	3.331	g cm⁻³
N(E_F)	1.143	states/eV/atom
formation enthalpy at 0 K	-96	meV/atom

Lattice parameters (Å, degrees): 8.327 10.815 7.268 90.00 90.00 90.00
Space group Pnma (No. 62)
Asymmetric unit:
Sr 0.036 0.250 0.144 (multiplicity 4)
Sr 0.177 0.065 0.663 (multiplicity 8)
Zn 0.121 0.750 0.445 (multiplicity 4)

No. 3
First-principles (SCAN) data for a PBEsol-optimized structure of SrZn2, as listed in Alexandria via LeMat-Bulk.

Values from the calculation:
mass density	5.668	g cm⁻³
N(E_F)	0.534	states/eV/atom
formation enthalpy at 0 K	-230	meV/atom

Lattice parameters (Å, degrees): 5.7626 5.7626 8.9008 90.00 90.00 120.00
Space group P6_3/mmc (No. 194)
Asymmetric unit:
Sr 0.3333 0.6667 0.0531 (multiplicity 4)
Zn 0.0000 0.0000 0.0000 (multiplicity 2)
Zn 0.1567 0.3135 0.7500 (multiplicity 6)

No. 4
First-principles (SCAN) data for a PBEsol-optimized structure of SrZn, as listed in Alexandria via LeMat-Bulk.

Values from the calculation:
mass density	3.873	g cm⁻³
N(E_F)	0.787	states/eV/atom
formation enthalpy at 0 K	-250	meV/atom

Lattice parameters (Å, degrees): 4.4454 4.4454 23.0034 90.00 90.00 120.00
Space group R-3m (No. 166, hexagonal axes)
Asymmetric unit:
Sr 0.0000 0.0000 0.0877 (multiplicity 6)
Zn 0.0000 0.0000 0.3334 (multiplicity 6)

No. 5
First-principles (SCAN) data for a PBEsol-optimized structure of SrZn, as listed in Alexandria via LeMat-Bulk.

Values from the calculation:
mass density	3.926	g cm⁻³
N(E_F)	0.793	states/eV/atom
formation enthalpy at 0 K	-173	meV/atom

Lattice parameters (Å, degrees): 11.633 4.367 8.351 90.00 113.74 90.00
Space group Cm (No. 8)
Asymmetric unit:
Sr 0.000 0.000 0.000 (multiplicity 2)
Sr 0.145 0.500 0.711 (multiplicity 2)
Sr 0.317 0.500 0.350 (multiplicity 2)
Zn 0.017 0.500 0.295 (multiplicity 2)
Zn 0.123 0.000 0.417 (multiplicity 2)
Zn 0.296 0.000 0.031 (multiplicity 2)

No. 6
First-principles (SCAN) data for a PBEsol-optimized structure of SrZn5, as listed in Alexandria via LeMat-Bulk.

Values from the calculation:
mass density	6.267	g cm⁻³
N(E_F)	0.389	states/eV/atom
formation enthalpy at 0 K	-288	meV/atom

Lattice parameters (Å, degrees): 12.841 5.222 6.555 90.00 90.00 90.00
Space group Pnma (No. 62)
Asymmetric unit:
Sr 0.088 0.250 0.143 (multiplicity 4)
Zn 0.021 0.750 0.404 (multiplicity 4)
Zn 0.144 0.000 0.650 (multiplicity 8)
Zn 0.207 0.750 0.953 (multiplicity 4)
Zn 0.214 0.750 0.338 (multiplicity 4)

No. 7
First-principles (SCAN) data for a PBEsol-optimized structure of Sr3Zn, as listed in Alexandria via LeMat-Bulk.

Values from the calculation:
mass density	3.213	g cm⁻³
N(E_F)	0.874	states/eV/atom
formation enthalpy at 0 K	-14	meV/atom

Lattice parameters (Å, degrees): 4.1749 4.1749 11.2402 90.00 90.00 120.00
Space group P-6m2 (No. 187)
Asymmetric unit:
Sr 0.0000 0.0000 0.0000 (multiplicity 1)
Sr 0.6667 0.3333 0.3118 (multiplicity 2)
Zn 0.0000 0.0000 0.5000 (multiplicity 1)

No. 8
First-principles (SCAN) data for a PBEsol-optimized structure of SrZn13, as listed in Alexandria via LeMat-Bulk.

Values from the calculation:
mass density	7.159	g cm⁻³
N(E_F)	0.106	states/eV/atom
formation enthalpy at 0 K	-231	meV/atom

Lattice parameters (Å, degrees): 12.029 12.029 12.029 90.00 90.00 90.00
Space group Fm-3c (No. 226)
Asymmetric unit:
Sr 0.250 0.250 0.250 (multiplicity 8)
Zn 0.000 0.000 0.000 (multiplicity 8)
Zn 0.000 0.120 0.179 (multiplicity 96)

No. 9
First-principles (SCAN) data for a PBEsol-optimized structure of SrZn2, as listed in Alexandria via LeMat-Bulk.

Values from the calculation:
mass density	4.812	g cm⁻³
N(E_F)	0.586	states/eV/atom
formation enthalpy at 0 K	-177	meV/atom

Lattice parameters (Å, degrees): 4.139 16.581 4.394 90.00 90.00 90.00
Space group Cmcm (No. 63)
Asymmetric unit:
Sr 0.000 0.098 0.250 (multiplicity 4)
Zn 0.000 0.252 0.750 (multiplicity 4)
Zn 0.000 0.337 0.250 (multiplicity 4)

No. 10
First-principles (SCAN) data for a PBEsol-optimized structure of SrZn2, as listed in Alexandria via LeMat-Bulk.

Values from the calculation:
mass density	5.019	g cm⁻³
N(E_F)	0.716	states/eV/atom
formation enthalpy at 0 K	-175	meV/atom

Lattice parameters (Å, degrees): 13.162 4.007 6.210 90.00 118.03 90.00
Space group C2/m (No. 12)
Asymmetric unit:
Sr 0.172 0.000 0.172 (multiplicity 4)
Zn 0.000 0.500 0.285 (multiplicity 4)
Zn 0.109 0.000 0.609 (multiplicity 4)

No. 11
First-principles (SCAN) data for a PBEsol-optimized structure of SrZn, as listed in Alexandria via LeMat-Bulk.

Values from the calculation:
mass density	3.774	g cm⁻³
N(E_F)	0.688	states/eV/atom
formation enthalpy at 0 K	6	meV/atom

Lattice parameters (Å, degrees): 4.1591 4.1591 8.9884 90.00 90.00 120.00
Space group P-3m1 (No. 164)
Asymmetric unit:
Sr 0.3333 0.6667 0.1965 (multiplicity 2)
Zn 0.3333 0.6667 0.5520 (multiplicity 2)

No. 12
First-principles (SCAN) data for a PBEsol-optimized structure of Sr3Zn, as listed in Alexandria via LeMat-Bulk.

Values from the calculation:
mass density	3.470	g cm⁻³
N(E_F)	0.910	states/eV/atom
formation enthalpy at 0 K	-102	meV/atom

Lattice parameters (Å, degrees): 3.934 3.934 10.152 90.00 90.00 90.00
Space group P4/mmm (No. 123)
Asymmetric unit:
Sr 0.000 0.000 0.000 (multiplicity 1)
Sr 0.500 0.500 0.319 (multiplicity 2)
Zn 0.000 0.000 0.500 (multiplicity 1)

No. 13
First-principles (SCAN) data for a PBEsol-optimized structure of SrZn, as listed in Alexandria via LeMat-Bulk.

Values from the calculation:
mass density	4.192	g cm⁻³
N(E_F)	0.827	states/eV/atom
formation enthalpy at 0 K	-110	meV/atom

Lattice parameters (Å, degrees): 4.060 12.614 7.102 90.00 90.00 90.00
Space group Imm2 (No. 44)
Asymmetric unit:
Sr 0.000 0.000 0.000 (multiplicity 2)
Sr 0.000 0.296 0.816 (multiplicity 4)
Zn 0.000 0.000 0.517 (multiplicity 2)
Zn 0.000 0.399 0.208 (multiplicity 4)